Material: GaSnAsBr2
Method: DFT, PBE-GGA
State: relaxed

As for the total moment: 0.000 μB per atom. The calculation puts the energy above the lowest structure with this stoichiometry at 0.00 eV/f.u. The volume comes out at 27.57 A^3/atom. As for the uncorrected formation energy: 32 meV/atom. As for the density of states at the Fermi level: 2.84 states/eV/cell.

Structure (POSCAR):
```
GaSnAsBr2
1.0
5.1358 0.0000 0.0000
0.0000 5.1358 0.0000
0.0000 0.0000 5.2256
Ga Sn As Br
1 1 1 2
direct
0.0000 0.0000 0.0000
0.5000 0.5000 0.5000
0.0000 0.0000 0.5000
0.0000 0.5000 0.0000
0.5000 0.0000 0.0000
```

=====

Material: SrGaAsBr2
Method: DFT, PBE-GGA
State: relaxed

As for the total moment: 0.400 μB per atom. The calculation puts the energy above the lowest structure with this stoichiometry at 1.14 eV/f.u. The volume comes out at 43.36 A^3/atom. As for the uncorrected formation energy: -467 meV/atom. As for the density of states at the Fermi level: 2.56 states/eV/cell.

Structure (POSCAR):
```
SrGaAsBr2
1.0
5.9019 0.0000 0.0000
0.0000 5.9019 0.0000
0.0000 0.0000 6.2234
Sr Ga As Br
1 1 1 2
direct
0.0000 0.0000 0.0000
0.5000 0.5000 0.5000
0.0000 0.0000 0.5000
0.0000 0.5000 0.0000
0.5000 0.0000 0.0000
```

=====

Material: SrGaAs2Br
Method: DFT, PBE-GGA
State: relaxed

As for the total moment: 0.000 μB per atom. The calculation puts the energy above the lowest structure with this stoichiometry at 0.00 eV/f.u. The volume comes out at 28.06 A^3/atom. As for the uncorrected formation energy: -422 meV/atom. As for the density of states at the Fermi level: 2.44 states/eV/cell.

Structure (POSCAR):
```
SrGaAs2Br
1.0
4.8647 0.0000 0.0000
0.0000 4.8647 0.0000
0.0000 0.0000 5.9283
Sr Ga As Br
1 1 2 1
direct
0.0000 0.0000 0.0000
0.5000 0.5000 0.5000
0.0000 0.5000 0.5000
0.5000 0.0000 0.5000
0.5000 0.5000 0.0000
```

=====

Material: SrGaAs2Br
Method: DFT, PBE-GGA
State: relaxed

As for the total moment: 0.458 μB per atom. The calculation puts the energy above the lowest structure with this stoichiometry at 3.53 eV/f.u. The volume comes out at 41.42 A^3/atom. As for the uncorrected formation energy: 284 meV/atom. As for the density of states at the Fermi level: 4.14 states/eV/cell.

Structure (POSCAR):
```
SrGaAs2Br
1.0
5.9488 0.0000 0.0000
0.0000 5.9488 0.0000
0.0000 0.0000 5.8521
Sr Ga As Br
1 1 2 1
direct
0.0000 0.0000 0.0000
0.5000 0.5000 0.5000
0.0000 0.5000 0.0000
0.5000 0.0000 0.0000
0.0000 0.0000 0.5000
```

=====

Material: SrGaAsBr2
Method: DFT, PBE-GGA
State: relaxed

As for the total moment: 0.090 μB per atom. The calculation puts the energy above the lowest structure with this stoichiometry at 0.00 eV/f.u. The volume comes out at 29.11 A^3/atom. As for the uncorrected formation energy: -695 meV/atom. As for the density of states at the Fermi level: 4.38 states/eV/cell.

Structure (POSCAR):
```
SrGaAsBr2
1.0
5.3560 0.0000 0.0000
0.0000 5.3560 0.0000
0.0000 0.0000 5.0736
Sr Ga As Br
1 1 1 2
direct
0.0000 0.0000 0.0000
0.5000 0.5000 0.5000
0.5000 0.5000 0.0000
0.0000 0.5000 0.5000
0.5000 0.0000 0.5000
```

=====

Material: TaGaAsBr2
Method: DFT, PBE-GGA
State: relaxed

As for the total moment: 0.040 μB per atom. The calculation puts the energy above the lowest structure with this stoichiometry at 0.00 eV/f.u. The volume comes out at 27.66 A^3/atom. As for the uncorrected formation energy: -1 meV/atom. As for the density of states at the Fermi level: 1.68 states/eV/cell.

Structure (POSCAR):
```
TaGaAsBr2
1.0
5.2340 0.0000 0.0000
0.0000 5.2340 0.0000
0.0000 0.0000 5.0489
Ta Ga As Br
1 1 1 2
direct
0.0000 0.0000 0.0000
0.5000 0.5000 0.5000
0.0000 0.0000 0.5000
0.0000 0.5000 0.0000
0.5000 0.0000 0.0000
```